Compound: MnRe2Os
Source: Alexandria via LeMat-Bulk
Functional: PBE
Structure: optimized geometry

Output
- ΔH_f (0 K) (meV/atom) = 80
- space-group type = Pm
- energy above the most stable polymorph in this dataset (meV/atom) = 33

Unit cell a=4.147 b=2.722 c=5.139 alpha=74.74 beta=90.00 gamma=90.00
Positions (direct):
Re: 0.500 0.299 0.274
Re: 0.000 0.946 0.986
Os: 0.500 0.568 0.741
Mn: 0.000 0.686 0.500

=====

Compound: MnReOs2
Source: Alexandria via LeMat-Bulk
Functional: PBE
Structure: optimized geometry

Output
- ΔH_f (0 K) (meV/atom) = 56
- space-group type = I4/mmm
- energy above the most stable polymorph in this dataset (meV/atom) = 0

Unit cell a=4.646 b=4.646 c=4.646 alpha=131.19 beta=131.19 gamma=71.51
Site moments in Bohr magnetons follow the coordinates.
Positions (direct):
Re: 0.250 0.750 0.500  -0.08
Os: 0.500 0.500 0.000  -0.17
Os: 0.000 0.000 0.000  -0.17
Mn: 0.750 0.250 0.500  1.72

=====

Compound: TaMnReOs
Source: Alexandria via LeMat-Bulk
Functional: PBE
Structure: optimized geometry

Output
- ΔH_f (0 K) (meV/atom) = -90
- space-group type = F-43m

Unit cell a=4.408 b=4.408 c=4.408 alpha=60.00 beta=60.00 gamma=60.00
Site moments in Bohr magnetons follow the coordinates.
Positions (direct):
Mn: 0.500 0.500 0.500  2.96
Re: 0.750 0.750 0.750  -0.22
Os: 0.250 0.250 0.250  0.09
Ta: 0.000 0.000 0.000  0.10

=====

Compound: MnReTeOs2
Source: Alexandria via LeMat-Bulk
Functional: PBE
Structure: optimized geometry

Output
- formation energy (no corrections) (eV/f.u.) = 8.58
- space-group type = P4/mmm

Unit cell a=4.768 b=4.691 c=4.768 alpha=90.00 beta=90.00 gamma=90.00
Site moments in Bohr magnetons follow the coordinates.
Positions (direct):
Os: 0.500 0.000 0.000  0.16
Os: 0.000 0.000 0.500  0.13
Re: 0.000 0.000 0.000  -0.26
Mn: 0.000 0.500 0.000  3.52
Te: 0.500 0.500 0.500  0.01

=====

Compound: TiMnReOs2
Source: Alexandria via LeMat-Bulk
Functional: PBE
Structure: optimized geometry

Output
- ΔH_f (0 K) (meV/atom) = 1572
- space-group type = P4/mmm

Unit cell a=4.701 b=4.515 c=4.701 alpha=90.00 beta=90.00 gamma=90.00
Site moments in Bohr magnetons follow the coordinates.
Positions (direct):
Ti: 0.500 0.500 0.500  -1.00
Os: 0.000 0.000 0.500  0.27
Os: 0.500 0.000 0.000  0.22
Re: 0.000 0.000 0.000  -0.22
Mn: 0.000 0.500 0.000  2.88

=====

Compound: MnOsRh
Source: Alexandria via LeMat-Bulk
Functional: PBE
Structure: optimized geometry

Output
- ΔH_f (0 K) (meV/atom) = 62
- space-group type = P3m1
- energy above the most stable polymorph in this dataset (meV/atom) = 88

Unit cell a=2.682 b=2.682 c=6.476 alpha=90.00 beta=90.00 gamma=120.00
Site moments in Bohr magnetons follow the coordinates.
Positions (direct):
Rh: 0.333 0.667 0.678  0.03
Os: 0.667 0.333 0.318  -0.17
Mn: 0.000 0.000 0.004  1.49

=====

Looking at total magnetization for the records above, in order, we have 0.0; 1.3; 3.0; 3.7; 2.0; 1.4 μB/f.u..